Entry 1:
## Ag5GeAu8 (GGA-PBE)

Data for an optimized crystal structure of Ag5GeAu8.

abc: 7.023 7.023 7.023
angles: 109.72 108.97 109.72
Positions (direct):
Au  0.236  0.232  0.332
Au  0.185  0.782  0.617
Ag  0.500  0.000  0.500
Ag  0.465  0.185  0.056
Au  0.597  0.432  0.815
Ag  0.720  0.590  0.535
Au  0.835  0.218  0.403
Au  0.100  0.768  0.004
Ag  0.871  0.815  0.280
Au  0.996  0.096  0.764
Ag  0.944  0.410  0.129
Au  0.668  0.904  0.900
Au  0.383  0.568  0.165
Ge  0.250  0.500  0.750

Summary:
magnetic moment	0.000	μB/f.u.
SG	I-4
E_form	0.0585	eV/atom

***

Entry 2:
## AgGe2Au (GGA-PBE)

Data for an optimized crystal structure of AgGe2Au.

abc: 4.397 4.397 5.482
angles: 66.35 66.35 60.00
Positions (direct):
Au  0.677  0.677  0.969
Ge  0.073  0.073  0.781
Ge  0.267  0.267  0.199
Ag  0.483  0.483  0.552

Summary:
magnetic moment	0.000	μB/f.u.
SG	R3m
E_form	0.1403	eV/atom
ΔE to the lowest computed polymorph	0	meV per atom

***

Entry 3:
## Ag3GeAu6 (GGA-PBE)

Data for an optimized crystal structure of Ag3GeAu6.

abc: 6.534 7.984 7.410
angles: 90.00 82.01 90.00
Positions (direct):
Au  0.268  0.139  0.753
Ag  0.070  0.610  0.133
Au  0.687  0.243  0.625
Au  0.232  0.639  0.747
Au  0.813  0.743  0.875
Au  0.618  0.147  0.995
Au  0.768  0.361  0.253
Au  0.732  0.861  0.247
Ge  0.500  0.500  0.500
Au  0.118  0.353  0.495
Ag  0.000  0.000  0.500
Ge  0.000  0.000  0.000
Ag  0.570  0.890  0.633
Au  0.313  0.757  0.375
Ag  0.930  0.390  0.867
Ag  0.500  0.500  0.000
Au  0.882  0.647  0.505
Ag  0.430  0.110  0.367
Au  0.187  0.257  0.125
Au  0.382  0.853  0.005

Summary:
magnetic moment	0.000	μB/f.u.
SG	P2_1/c
E_form	0.0471	eV/atom
ΔE to the lowest computed polymorph	56	meV per atom

***

Entry 4:
## Ag6GeAu8 (GGA-PBE)

Data for an optimized crystal structure of Ag6GeAu8.

abc: 7.737 7.737 7.213
angles: 57.57 57.57 60.00
Positions (direct):
Ag  0.089  0.661  0.888
Au  0.813  0.139  0.608
Au  0.249  0.249  0.253
Au  0.751  0.751  0.747
Au  0.187  0.861  0.392
Ag  0.339  0.639  0.112
Ag  0.911  0.339  0.112
Ag  0.639  0.911  0.112
Au  0.560  0.187  0.392
Ag  0.661  0.361  0.888
Au  0.139  0.440  0.608
Ge  0.000  0.000  0.000
Au  0.440  0.813  0.608
Ag  0.361  0.089  0.888
Au  0.861  0.560  0.392

Summary:
magnetic moment	0.000	μB/f.u.
SG	R-3
E_form	0.0974	eV/atom

***

Entry 5:
## HfAgGeAu (GGA-PBE)

Data for an optimized crystal structure of HfAgGeAu.

abc: 4.717 4.717 4.717
angles: 60.00 60.00 60.00
Positions (direct):
Ge  0.000  0.000  0.000
Au  0.500  0.500  0.500
Ag  0.750  0.750  0.750
Hf  0.250  0.250  0.250

Summary:
magnetic moment	0.000	μB/f.u.
SG	F-43m
E_form	-0.2138	eV/atom

***

Entry 6:
## K2AgGeAu6 (GGA-PBE)

Data for an optimized crystal structure of K2AgGeAu6.

abc: 7.407 6.947 6.936
angles: 59.95 62.21 89.99
Positions (direct):
Au  0.139  0.245  0.511
Au  0.861  0.350  0.894
K  0.626  0.208  0.583
Au  0.139  0.650  0.106
Au  0.861  0.755  0.894
Ge  0.000  0.000  0.000
K  0.374  0.792  0.417
Au  0.861  0.755  0.489
Au  0.139  0.245  0.106
Ag  0.500  0.500  0.000

Summary:
magnetic moment	0.000	μB/f.u.
SG	C2/m
E_form	-0.1964	eV/atom

***

Question: Among the records above, which one has the highest E_form?
Answer: AgGe2Au

***

Question: E_form of number 1 (Ag5GeAu8)?
Answer: 0.0585 eV/atom